KZnIn4: relaxed, PBE.

Output
As for the energy above the most stable polymorph in this dataset: 90 kJ/mol of formula units. Its magnetization is 0.00 μB/atom. Its crystal system is cubic. Its energy of formation is 0.09 eV per atom. The calculation puts the final energy at -2.13 eV per atom.

Cell: 6.310 6.310 6.310 Å, 60.00 60.00 60.00°
Sites, in units of the cell vectors:
K 0.000 0.000 0.000
Zn 0.750 0.750 0.750
In 0.375 0.375 0.375
In 0.375 0.375 0.874
In 0.375 0.874 0.375
In 0.874 0.375 0.375


MgInBi2: relaxed, PBE.

Output
Its magnetization is 0.00 μB/atom. Its crystal system is tetragonal. Its energy of formation is -0.04 eV per atom. The calculation puts the final energy at -3.07 eV per atom.

Cell: 3.423 3.423 9.908 Å, 90.00 90.00 90.00°
Sites, in units of the cell vectors:
Mg 0.000 0.000 0.000
In 0.000 0.000 0.500
Bi 0.500 0.500 0.222
Bi 0.500 0.500 0.778


BaIr2Au: relaxed, PBE.

Output
As for the energy above the most stable polymorph in this dataset: 0 kJ/mol of formula units. Its magnetization is 0.16 μB/atom. Its crystal system is trigonal. Its energy of formation is -0.14 eV per atom. The calculation puts the final energy at -5.87 eV per atom.

Cell: 6.236 6.236 6.236 Å, 42.31 42.31 42.31°
Sites, in units of the cell vectors:
Ba 0.000 0.000 0.000
Ir 0.192 0.192 0.192
Ir 0.521 0.521 0.521
Au 0.806 0.806 0.806


La5Sm8Tm: relaxed, PBE.

Output
Its magnetization is 0.00 μB/atom. Its crystal system is triclinic. Its energy of formation is 0.05 eV per atom. The calculation puts the final energy at -4.73 eV per atom.

Cell: 7.193 8.788 9.096 Å, 114.37 101.50 101.62°
Sites, in units of the cell vectors:
La 0.000 0.000 0.000
La 0.028 0.834 0.282
La 0.120 0.590 0.865
La 0.329 0.715 0.569
La 0.638 0.417 0.139
Sm 0.145 0.422 0.144
Sm 0.219 0.149 0.726
Sm 0.424 0.264 0.419
Sm 0.504 0.998 0.004
Sm 0.612 0.588 0.862
Sm 0.723 0.152 0.724
Sm 0.822 0.708 0.568
Sm 0.924 0.269 0.416
Tm 0.531 0.833 0.282


Number 1: N(E_F) 0.4691 states/eV per atom. Number 2: N(E_F) 0.4413 states/eV per atom. Number 3: N(E_F) 0.8497 states/eV per atom. Number 4: N(E_F) 1.4827 states/eV per atom.